No. 1
First-principles (PBE) data for an optimized crystal structure of GdBr2, as listed in OQMD.

Properties
Space group: Fd-3m (227)
Magnetic moment: 2.2 Bohr magnetons per cell
Total DFT energy (no corrections): -0.2035 Ry/atom

```
data_GdBr2
_cell_length_a 6.2583
_cell_length_b 6.2583
_cell_length_c 6.2583
_cell_angle_alpha 60.00
_cell_angle_beta 60.00
_cell_angle_gamma 60.00
_symmetry_space_group_name_H-M 'P 1'
_symmetry_Int_Tables_number 1
loop_
_symmetry_equiv_pos_as_xyz
'x,y,z'
loop_
_atom_site_label
_atom_site_type_symbol
_atom_site_fract_x
_atom_site_fract_y
_atom_site_fract_z
Br1 Br 0.1250 0.6250 0.6250
Br2 Br 0.6250 0.6250 0.6250
Br3 Br 0.6250 0.1250 0.6250
Br4 Br 0.6250 0.6250 0.1250
Gd1 Gd 0.0000 0.0000 0.0000
Gd2 Gd 0.2500 0.2500 0.2500
```


No. 2
First-principles (PBE) data for an optimized crystal structure of GdBr, as listed in OQMD.

Properties
Space group: Fm-3m (225)
Magnetic moment: 0.0 Bohr magnetons per cell
Total DFT energy (no corrections): -0.2902 Ry/atom

```
data_GdBr
_cell_length_a 4.1563
_cell_length_b 4.1563
_cell_length_c 4.1563
_cell_angle_alpha 60.00
_cell_angle_beta 60.00
_cell_angle_gamma 60.00
_symmetry_space_group_name_H-M 'P 1'
_symmetry_Int_Tables_number 1
loop_
_symmetry_equiv_pos_as_xyz
'x,y,z'
loop_
_atom_site_label
_atom_site_type_symbol
_atom_site_fract_x
_atom_site_fract_y
_atom_site_fract_z
Gd1 Gd 0.5000 0.5000 0.5000
Br1 Br 0.0000 0.0000 0.0000
```


No. 3
First-principles (PBE) data for an optimized crystal structure of GdBr, as listed in OQMD.

Properties
Space group: P-6m2 (187)
Magnetic moment: 0.0 Bohr magnetons per cell
Total DFT energy (no corrections): -0.3123 Ry/atom

```
data_GdBr
_cell_length_a 3.6191
_cell_length_b 3.6191
_cell_length_c 4.5342
_cell_angle_alpha 90.00
_cell_angle_beta 90.00
_cell_angle_gamma 120.00
_symmetry_space_group_name_H-M 'P 1'
_symmetry_Int_Tables_number 1
loop_
_symmetry_equiv_pos_as_xyz
'x,y,z'
loop_
_atom_site_label
_atom_site_type_symbol
_atom_site_fract_x
_atom_site_fract_y
_atom_site_fract_z
Br1 Br 0.6667 0.3333 0.7500
Gd1 Gd 0.3333 0.6667 0.2500
```


no.,theoretical density (Mg/m³)
1,6.08
2,7.76
3,7.66